VASP calculation (PBE) on a relaxed La2TbTh crystal.

Computed properties:
V: 34.3 Å³ per atom
Energy of formation from the pure elements: 23.5 meV per atom
Raw total energy: -21.811 eV/f.u.
Fermi-level density of states: 1.44 states/eV per atom
Theoretical density: 8.091 g/cm³

Cell: 3.6161 8.0577 11.6996 Å, 65.54 72.08 63.50°
With the nearest neighbours (Å) after each atom.
Atoms (fractional coordinates):
Th 0.5000 0.0000 0.5000  4 Tb 3.52, 4 La 3.58-3.59, 4 Th 3.61-3.62
La 0.3692 0.8698 0.2611  4 Th 3.58-3.59, 2 Tb 3.60-3.61, 6 La 3.62-3.82
Tb 0.8647 0.3652 0.2697  4 Th 3.52-3.53, 6 La 3.60-3.76, 2 Tb 3.62
La 0.6308 0.1302 0.7389  4 Th 3.58-3.59, 2 Tb 3.60-3.61, 6 La 3.62-3.82
La 0.7317 0.2694 0.9998  3 La 3.33-3.62
La 0.2683 0.7306 0.0002  3 La 3.33-3.62
Th 0.0000 0.5000 0.5000  4 Tb 3.52-3.53, 4 La 3.58-3.59, 4 Th 3.61-3.62
Tb 0.1353 0.6348 0.7303  4 Th 3.52-3.53, 6 La 3.60-3.76, 2 Tb 3.62

VASP calculation (PBE) on a relaxed BaMgTlSb2 crystal.

Computed properties:
V: 37.0 Å³ per atom
Formation energy from raw total energies: 5 kJ/mol of formula units
Raw total energy: -14.079 eV/f.u.
Fermi-level density of states: 0.69 states/eV per atom
Theoretical density: 5.468 g/cm³

Cell: 5.9562 5.2178 5.9562 Å, 90.00 90.00 90.00°
With the nearest neighbours (Å) after each atom.
Atoms (fractional coordinates):
Sb 0.5000 0.0000 0.0000  2 Tl 2.98
Sb 0.0000 0.0000 0.5000  2 Tl 2.98
Mg 0.0000 0.5000 0.0000  2 Tl 2.61
Ba 0.5000 0.5000 0.5000  8 Sb 3.96, 4 Mg 4.21
Tl 0.0000 0.0000 0.0000  2 Mg 2.61

VASP calculation (PBE) on a relaxed LiPm2Sm crystal.

Computed properties:
V: 30.7 Å³ per atom
Energy of formation from the pure elements: 64.1 meV per atom
Raw total energy: -15.878 eV/f.u.
Fermi-level density of states: 1.40 states/eV per atom
Theoretical density: 6.051 g/cm³

Cell: 3.6673 3.6673 9.1275 Å, 90.00 90.00 90.00°
With the nearest neighbours (Å) after each atom.
Atoms (fractional coordinates):
Sm 0.5000 0.5000 0.5000  8 Pm 3.62, 4 Sm 3.67
Pm 0.0000 0.0000 0.2240  4 Li 3.30, 4 Sm 3.62, 4 Pm 3.67
Li 0.5000 0.5000 0.0000  8 Pm 3.30, 4 Li 3.67
Pm 0.0000 0.0000 0.7760  4 Li 3.30, 4 Sm 3.62, 4 Pm 3.67

VASP calculation (PBE) on a relaxed K2SbRu crystal.

Computed properties:
V: 25.2 Å³ per atom
Formation energy from raw total energies: 217 kJ/mol of formula units
Raw total energy: -13.341 eV/f.u.
Fermi-level density of states: 0.80 states/eV per atom
Theoretical density: 4.964 g/cm³

Cell: 4.0809 4.3920 5.6185 Å, 90.00 90.00 90.00°
With the nearest neighbours (Å) after each atom.
Atoms (fractional coordinates):
Ru 0.5000 0.0000 0.5000  4 Sb 3.00
K 0.5000 0.5000 0.0000  4 K 3.00
K 0.0000 0.0000 0.0000  4 K 3.00
Sb 0.0000 0.5000 0.5000  4 Ru 3.00